[1]
{"formula": "LaPd12", "functional": "PBE-GGA", "state": "relaxed", "formation_energy_kj_per_mol_atoms": -23, "lattice": [[-0.467, -2.080, 4.847], [-5.802, -3.842, 0.684], [3.015, -6.291, 0.482]], "species": ["Pd", "Pd", "Pd", "Pd", "Pd", "La", "Pd", "Pd", "Pd", "Pd", "Pd", "Pd", "Pd"], "frac_coords": [[0.000, 0.351, 0.649], [0.500, 0.000, 0.500], [0.500, 0.500, 0.000], [0.720, 0.780, 0.780], [0.649, 0.351, 0.351], [0.000, 0.000, 0.000], [0.000, 0.649, 0.351], [0.500, 0.780, 0.220], [0.000, 0.000, 0.500], [0.000, 0.500, 0.000], [0.500, 0.220, 0.780], [0.351, 0.649, 0.649], [0.280, 0.220, 0.220]]}

=====

[2]
{"formula": "La5Pd", "functional": "PBE-GGA", "state": "relaxed", "formation_energy_kj_per_mol_atoms": -21, "lattice": [[-3.453, -1.331, -1.063], [-0.729, -2.373, 5.340], [-3.353, 8.602, 0.117]], "species": ["La", "La", "La", "La", "Pd", "La"], "frac_coords": [[0.000, 0.316, 0.632], [0.500, 0.870, 0.741], [0.000, 0.684, 0.368], [0.500, 0.130, 0.259], [0.000, 0.000, 0.000], [0.500, 0.500, 0.000]]}

=====

[3]
{"formula": "LaPd2", "functional": "PBE-GGA", "state": "relaxed", "formation_energy_kj_per_mol_atoms": -57, "lattice": [[5.269, -0.013, 0.000], [2.237, 4.770, 0.000], [-3.753, -2.378, 2.832]], "species": ["Pd", "Pd", "La"], "frac_coords": [[0.250, 0.750, 0.500], [0.750, 0.250, 0.500], [0.000, 0.000, 0.000]]}

=====

[4]
{"formula": "LaPd", "functional": "PBE-GGA", "state": "relaxed", "formation_energy_kj_per_mol_atoms": -5, "lattice": [[-4.392, -5.093, 4.506], [-0.740, -4.975, -6.344], [6.760, -3.854, 2.233]], "species": ["La", "Pd", "La", "La", "Pd", "La", "Pd", "Pd", "Pd", "La", "La", "Pd"], "frac_coords": [[0.750, 0.500, 0.000], [0.500, 0.750, 0.000], [0.500, 0.000, 0.750], [0.000, 0.250, 0.500], [0.000, 0.500, 0.750], [0.000, 0.750, 0.500], [0.500, 0.250, 0.000], [0.000, 0.500, 0.250], [0.750, 0.000, 0.500], [0.250, 0.500, 0.000], [0.500, 0.000, 0.250], [0.250, 0.000, 0.500]]}

=====

[5]
{"formula": "LaPd", "functional": "PBE-GGA", "state": "relaxed", "formation_energy_kj_per_mol_atoms": -64, "lattice": [[-8.023, -1.790, 0.139], [5.508, -5.924, -1.469], [0.340, -1.087, 5.659]], "species": ["La", "Pd", "La", "La", "Pd", "La", "Pd", "Pd", "Pd", "Pd", "La", "La"], "frac_coords": [[0.907, 0.271, 0.250], [0.145, 0.687, 0.250], [0.636, 0.907, 0.750], [0.271, 0.364, 0.750], [0.855, 0.313, 0.750], [0.729, 0.636, 0.250], [0.458, 0.145, 0.750], [0.313, 0.458, 0.250], [0.542, 0.855, 0.250], [0.687, 0.542, 0.750], [0.364, 0.093, 0.250], [0.093, 0.729, 0.750]]}

=====

[6]
{"formula": "LaPd2", "functional": "PBE-GGA", "state": "relaxed", "formation_energy_kj_per_mol_atoms": -72, "lattice": [[4.351, 0.000, 0.000], [0.000, 3.825, 0.150], [-2.175, -0.163, 4.125]], "species": ["Pd", "La", "Pd"], "frac_coords": [[0.660, 0.500, 0.320], [0.000, 0.000, 0.000], [0.340, 0.500, 0.680]]}

=====

[7]
{"formula": "LaPd", "functional": "PBE-GGA", "state": "relaxed", "formation_energy_kj_per_mol_atoms": -45, "lattice": [[8.740, 0.000, 0.000], [0.000, 15.044, 0.000], [0.000, 0.000, 6.252]], "species": ["La", "Pd", "Pd", "La", "La", "Pd", "La", "Pd", "Pd", "Pd", "La", "La", "La", "La", "La", "Pd", "Pd", "Pd", "Pd", "Pd", "La", "La", "Pd", "Pd", "La", "Pd", "La", "Pd", "Pd", "La", "La", "La"], "frac_coords": [[0.684, 0.500, 0.500], [0.250, 0.660, 0.250], [0.500, 0.410, 0.000], [0.434, 0.750, 0.750], [0.934, 0.250, 0.750], [0.500, 0.910, 0.500], [0.184, 0.000, 0.500], [0.750, 0.160, 0.250], [0.750, 0.840, 0.750], [0.000, 0.590, 0.500], [0.934, 0.750, 0.250], [0.816, 0.000, 0.500], [0.066, 0.250, 0.250], [0.316, 0.500, 0.500], [0.566, 0.750, 0.250], [0.500, 0.590, 0.000], [0.000, 0.090, 0.000], [0.250, 0.340, 0.750], [0.750, 0.340, 0.250], [0.250, 0.160, 0.750], [0.434, 0.250, 0.250], [0.684, 0.000, 0.000], [0.500, 0.090, 0.500], [0.750, 0.660, 0.750], [0.316, 0.000, 0.000], [0.000, 0.410, 0.500], [0.066, 0.750, 0.750], [0.000, 0.910, 0.000], [0.250, 0.840, 0.250], [0.566, 0.250, 0.750], [0.184, 0.500, 0.000], [0.816, 0.500, 0.000]]}

=====

[8]
{"formula": "La5Pd6", "functional": "PBE-GGA", "state": "relaxed", "formation_energy_kj_per_mol_atoms": -79, "lattice": [[-3.274, 0.654, 2.208], [0.717, -3.796, 2.187], [8.238, 9.556, 9.385]], "species": ["La", "Pd", "La", "La", "La", "Pd", "Pd", "Pd", "La", "Pd", "Pd"], "frac_coords": [[0.000, 0.000, 0.000], [0.500, 0.100, 0.199], [0.500, 0.200, 0.399], [0.000, 0.386, 0.771], [0.000, 0.614, 0.229], [0.500, 0.543, 0.086], [0.000, 0.282, 0.565], [0.000, 0.718, 0.435], [0.500, 0.800, 0.601], [0.500, 0.457, 0.914], [0.500, 0.900, 0.801]]}